(1)
The following is a DFT calculation (PBE) of a relaxed PaZn3Co crystal.

Structure (CIF):
```
data_PaZn3Co
_space_group_name_H-M_alt 'P 1'
_space_group_IT_number 1
_space_group_name_Hall 'P 1'
_cell_length_a 4.403
_cell_length_b 4.500
_cell_length_c 5.086
_cell_angle_alpha 116.26
_cell_angle_beta 90.00
_cell_angle_gamma 90.00
loop_
_atom_site_label
_atom_site_type_symbol
_atom_site_fract_x
_atom_site_fract_y
_atom_site_fract_z
Pa1 Pa 0.500 0.021 0.042
Zn1 Zn 0.000 0.553 0.107
Zn2 Zn 0.000 0.262 0.523
Zn3 Zn 0.500 0.714 0.428
Co1 Co 0.500 0.410 0.821
```

Values from the calculation:
Offset from the most stable computed form   204 meV/atom
Formation energy   0.00 eV per atom
M_tot   0.0 μB per formula unit

=====

(2)
The following is a DFT calculation (PBE) of a relaxed Pa2Zn2Co3 crystal.

Structure (CIF):
```
data_Pa2Zn2Co3
_space_group_name_H-M_alt 'P 1'
_space_group_IT_number 1
_space_group_name_Hall 'P 1'
_cell_length_a 4.304
_cell_length_b 4.895
_cell_length_c 6.161
_cell_angle_alpha 91.30
_cell_angle_beta 110.44
_cell_angle_gamma 90.00
loop_
_atom_site_label
_atom_site_type_symbol
_atom_site_fract_x
_atom_site_fract_y
_atom_site_fract_z
Pa1 Pa 0.853 0.645 0.707
Pa2 Pa 0.147 0.355 0.293
Zn1 Zn 0.598 0.876 0.196
Zn2 Zn 0.402 0.124 0.804
Co1 Co 0.000 0.000 0.000
Co2 Co 0.794 0.195 0.587
Co3 Co 0.206 0.805 0.413
```

Values from the calculation:
Formation energy   -0.30 eV per atom
M_tot   0.0 μB per formula unit

=====

(3)
The following is a DFT calculation (PBE) of a relaxed Pa2Zn3Co2 crystal.

Structure (CIF):
```
data_Pa2Zn3Co2
_space_group_name_H-M_alt 'P 1'
_space_group_IT_number 1
_space_group_name_Hall 'P 1'
_cell_length_a 4.222
_cell_length_b 4.822
_cell_length_c 6.584
_cell_angle_alpha 96.44
_cell_angle_beta 90.00
_cell_angle_gamma 115.96
loop_
_atom_site_label
_atom_site_type_symbol
_atom_site_fract_x
_atom_site_fract_y
_atom_site_fract_z
Pa1 Pa 0.619 0.239 0.364
Pa2 Pa 0.381 0.761 0.636
Zn1 Zn 0.301 0.602 0.122
Zn2 Zn 0.000 0.000 0.000
Zn3 Zn 0.699 0.398 0.878
Co1 Co 0.111 0.222 0.661
Co2 Co 0.889 0.778 0.339
```

Values from the calculation:
Formation energy   -0.24 eV per atom
M_tot   0.0 μB per formula unit

=====

(4)
The following is a DFT calculation (PBE) of a relaxed PaZn4Co2 crystal.

Structure (CIF):
```
data_PaZn4Co2
_space_group_name_H-M_alt 'P 1'
_space_group_IT_number 1
_space_group_name_Hall 'P 1'
_cell_length_a 4.296
_cell_length_b 7.109
_cell_length_c 7.109
_cell_angle_alpha 90.00
_cell_angle_beta 90.00
_cell_angle_gamma 90.00
loop_
_atom_site_label
_atom_site_type_symbol
_atom_site_fract_x
_atom_site_fract_y
_atom_site_fract_z
Zn1 Zn 0.000 0.079 0.340
Zn2 Zn 0.000 0.921 0.660
Zn3 Zn 0.500 0.160 0.579
Zn4 Zn 0.500 0.840 0.421
Zn5 Zn 0.500 0.421 0.840
Zn6 Zn 0.500 0.579 0.160
Zn7 Zn 0.000 0.340 0.079
Zn8 Zn 0.000 0.660 0.921
Pa1 Pa 0.500 0.000 0.000
Pa2 Pa 0.000 0.500 0.500
Co1 Co 0.000 0.277 0.723
Co2 Co 0.000 0.723 0.277
Co3 Co 0.500 0.777 0.777
Co4 Co 0.500 0.223 0.223
```

Values from the calculation:
Formation energy   -0.24 eV per atom
M_tot   0.0 μB per formula unit

=====

(5)
The following is a DFT calculation (PBE) of a relaxed Pa2ZnCo2 crystal.

Structure (CIF):
```
data_Pa2ZnCo2
_space_group_name_H-M_alt 'P 1'
_space_group_IT_number 1
_space_group_name_Hall 'P 1'
_cell_length_a 4.604
_cell_length_b 5.425
_cell_length_c 7.551
_cell_angle_alpha 111.05
_cell_angle_beta 90.00
_cell_angle_gamma 90.00
loop_
_atom_site_label
_atom_site_type_symbol
_atom_site_fract_x
_atom_site_fract_y
_atom_site_fract_z
Pa1 Pa 0.750 0.427 0.855
Pa2 Pa 0.750 0.784 0.568
Pa3 Pa 0.250 0.573 0.145
Pa4 Pa 0.250 0.216 0.432
Zn1 Zn 0.000 0.000 0.000
Zn2 Zn 0.500 0.000 0.000
Co1 Co 0.750 0.381 0.262
Co2 Co 0.250 0.120 0.738
Co3 Co 0.250 0.619 0.738
Co4 Co 0.750 0.880 0.262
```

Values from the calculation:
Offset from the most stable computed form   165 meV/atom
Formation energy   -0.21 eV per atom
M_tot   0.0 μB per formula unit

=====

(6)
The following is a DFT calculation (PBE) of a relaxed Pa3Zn2Co3 crystal.

Structure (CIF):
```
data_Pa3Zn2Co3
_space_group_name_H-M_alt 'P 1'
_space_group_IT_number 1
_space_group_name_Hall 'P 1'
_cell_length_a 3.733
_cell_length_b 6.115
_cell_length_c 12.871
_cell_angle_alpha 90.00
_cell_angle_beta 90.00
_cell_angle_gamma 107.77
loop_
_atom_site_label
_atom_site_type_symbol
_atom_site_fract_x
_atom_site_fract_y
_atom_site_fract_z
Pa1 Pa 0.936 0.873 0.381
Pa2 Pa 0.064 0.127 0.881
Pa3 Pa 0.936 0.873 0.119
Pa4 Pa 0.064 0.127 0.619
Pa5 Pa 0.646 0.293 0.250
Pa6 Pa 0.354 0.707 0.750
Zn1 Zn 0.768 0.536 0.927
Zn2 Zn 0.232 0.464 0.427
Zn3 Zn 0.768 0.536 0.573
Zn4 Zn 0.232 0.464 0.073
Co1 Co 0.591 0.181 0.443
Co2 Co 0.409 0.819 0.943
Co3 Co 0.591 0.181 0.057
Co4 Co 0.409 0.819 0.557
Co5 Co 0.343 0.685 0.250
Co6 Co 0.657 0.315 0.750
```

Values from the calculation:
Formation energy   -0.30 eV per atom
M_tot   0.0 μB per formula unit

=====

(7)
The following is a DFT calculation (PBE) of a relaxed Pa3Zn5Co2 crystal.

Structure (CIF):
```
data_Pa3Zn5Co2
_space_group_name_H-M_alt 'P 1'
_space_group_IT_number 1
_space_group_name_Hall 'P 1'
_cell_length_a 5.915
_cell_length_b 8.349
_cell_length_c 8.349
_cell_angle_alpha 79.53
_cell_angle_beta 69.25
_cell_angle_gamma 69.25
loop_
_atom_site_label
_atom_site_type_symbol
_atom_site_fract_x
_atom_site_fract_y
_atom_site_fract_z
Pa1 Pa 0.250 0.000 0.000
Pa2 Pa 0.750 0.000 0.000
Pa3 Pa 0.354 0.397 0.894
Pa4 Pa 0.646 0.603 0.106
Pa5 Pa 0.854 0.894 0.397
Pa6 Pa 0.146 0.106 0.603
Zn1 Zn 0.250 0.500 0.500
Zn2 Zn 0.750 0.500 0.500
Zn3 Zn 0.515 0.735 0.735
Zn4 Zn 0.985 0.265 0.265
Zn5 Zn 0.485 0.265 0.265
Zn6 Zn 0.015 0.735 0.735
Zn7 Zn 0.104 0.543 0.249
Zn8 Zn 0.896 0.457 0.751
Zn9 Zn 0.604 0.249 0.543
Zn10 Zn 0.396 0.751 0.457
Co1 Co 0.144 0.718 0.994
Co2 Co 0.856 0.282 0.006
Co3 Co 0.644 0.994 0.718
Co4 Co 0.356 0.006 0.282
```

Values from the calculation:
Formation energy   -0.09 eV per atom
M_tot   0.0 μB per formula unit

=====

(8)
The following is a DFT calculation (PBE) of a relaxed Pa3ZnCo3 crystal.

Structure (CIF):
```
data_Pa3ZnCo3
_space_group_name_H-M_alt 'P 1'
_space_group_IT_number 1
_space_group_name_Hall 'P 1'
_cell_length_a 3.566
_cell_length_b 5.490
_cell_length_c 13.482
_cell_angle_alpha 90.00
_cell_angle_beta 90.00
_cell_angle_gamma 108.95
loop_
_atom_site_label
_atom_site_type_symbol
_atom_site_fract_x
_atom_site_fract_y
_atom_site_fract_z
Pa1 Pa 0.214 0.427 0.900
Pa2 Pa 0.786 0.573 0.100
Pa3 Pa 0.214 0.427 0.600
Pa4 Pa 0.786 0.573 0.400
Pa5 Pa 0.484 0.968 0.750
Pa6 Pa 0.516 0.032 0.250
Zn1 Zn 0.500 0.000 0.000
Zn2 Zn 0.500 0.000 0.500
Co1 Co 0.926 0.852 0.883
Co2 Co 0.074 0.148 0.117
Co3 Co 0.926 0.852 0.617
Co4 Co 0.074 0.148 0.383
Co5 Co 0.745 0.489 0.750
Co6 Co 0.255 0.511 0.250
```

Values from the calculation:
Formation energy   -0.28 eV per atom
M_tot   0.0 μB per formula unit

=====

(9)
The following is a DFT calculation (PBE) of a relaxed PaZn2Co crystal.

Structure (CIF):
```
data_PaZn2Co
_space_group_name_H-M_alt 'P 1'
_space_group_IT_number 1
_space_group_name_Hall 'P 1'
_cell_length_a 4.338
_cell_length_b 4.748
_cell_length_c 6.769
_cell_angle_alpha 90.00
_cell_angle_beta 90.00
_cell_angle_gamma 106.27
loop_
_atom_site_label
_atom_site_type_symbol
_atom_site_fract_x
_atom_site_fract_y
_atom_site_fract_z
Pa1 Pa 0.035 0.156 0.250
Pa2 Pa 0.965 0.844 0.750
Zn1 Zn 0.409 0.724 0.056
Zn2 Zn 0.409 0.724 0.444
Zn3 Zn 0.591 0.276 0.944
Zn4 Zn 0.591 0.276 0.556
Co1 Co 0.887 0.622 0.250
Co2 Co 0.113 0.378 0.750
```

Values from the calculation:
Offset from the most stable computed form   0 meV/atom
Formation energy   -0.29 eV per atom
M_tot   0.0 μB per formula unit

=====

(10)
The following is a DFT calculation (PBE) of a relaxed Pa4ZnCo4 crystal.

Structure (CIF):
```
data_Pa4ZnCo4
_space_group_name_H-M_alt 'P 1'
_space_group_IT_number 1
_space_group_name_Hall 'P 1'
_cell_length_a 4.920
_cell_length_b 8.326
_cell_length_c 8.326
_cell_angle_alpha 90.00
_cell_angle_beta 90.00
_cell_angle_gamma 90.00
loop_
_atom_site_label
_atom_site_type_symbol
_atom_site_fract_x
_atom_site_fract_y
_atom_site_fract_z
Pa1 Pa 0.500 0.282 0.923
Pa2 Pa 0.000 0.577 0.782
Pa3 Pa 0.500 0.718 0.077
Pa4 Pa 0.000 0.218 0.577
Pa5 Pa 0.500 0.923 0.718
Pa6 Pa 0.000 0.782 0.423
Pa7 Pa 0.000 0.423 0.218
Pa8 Pa 0.500 0.077 0.282
Zn1 Zn 0.000 0.000 0.000
Zn2 Zn 0.500 0.500 0.500
Co1 Co 0.501 0.768 0.423
Co2 Co 0.501 0.232 0.577
Co3 Co 0.001 0.923 0.732
Co4 Co 0.999 0.268 0.923
Co5 Co 0.999 0.732 0.077
Co6 Co 0.499 0.423 0.232
Co7 Co 0.499 0.577 0.768
Co8 Co 0.001 0.077 0.268
```

Values from the calculation:
Formation energy   -0.23 eV per atom
M_tot   0.0 μB per formula unit

=====

(11)
The following is a DFT calculation (PBE) of a relaxed Pa3ZnCo4 crystal.

Structure (CIF):
```
data_Pa3ZnCo4
_space_group_name_H-M_alt 'P 1'
_space_group_IT_number 1
_space_group_name_Hall 'P 1'
_cell_length_a 3.556
_cell_length_b 6.062
_cell_length_c 7.476
_cell_angle_alpha 113.55
_cell_angle_beta 103.76
_cell_angle_gamma 90.00
loop_
_atom_site_label
_atom_site_type_symbol
_atom_site_fract_x
_atom_site_fract_y
_atom_site_fract_z
Pa1 Pa 0.000 0.500 0.000
Pa2 Pa 0.197 0.197 0.394
Pa3 Pa 0.803 0.803 0.606
Zn1 Zn 0.500 0.000 0.000
Co1 Co 0.378 0.586 0.756
Co2 Co 0.622 0.414 0.244
Co3 Co 0.623 0.829 0.246
Co4 Co 0.377 0.171 0.754
```

Values from the calculation:
Formation energy   -0.22 eV per atom
M_tot   0.0 μB per formula unit